# LaV3Pd | the Alexandria database | GGA-PBE | optimized geometry
# Magnetization = 0.0 μB per formula unit
# Excess energy over the best structure of this formula in the dataset = 736 meV/atom
# Formation energy from the elements = 1.55 eV per atom
# VASP energy = -5.95 eV per atom
data_LaV3Pd
_space_group_name_H-M_alt 'P m -3 m'
_space_group_IT_number 221
_space_group_name_Hall '-P 4 2 3'
_cell_length_a 4.519
_cell_length_b 4.519
_cell_length_c 4.519
_cell_angle_alpha 90.00
_cell_angle_beta 90.00
_cell_angle_gamma 90.00
loop_
_atom_site_label
_atom_site_type_symbol
_atom_site_fract_x
_atom_site_fract_y
_atom_site_fract_z
La1 La 0.000 0.000 0.000
V1 V 0.000 0.000 0.500
Pd1 Pd 0.500 0.500 0.500